Entry 1:
AcPmRe2N5 GGA-PBE relaxed; calculated volume = 119.5 Å³/cell; electronic total energy = -9.15 eV per atom; D(E_F) = 0.2654 states/eV/atom; spin magnetization = 0.0 Bohr magnetons per cell
1.0
3.988 0.000 0.000
0.000 3.988 0.000
0.000 0.000 7.515
Ac Pm Re N
1 1 2 5
direct
0.000 0.000 0.500
0.000 0.000 0.000
0.500 0.500 0.235
0.500 0.500 0.765
0.000 0.500 0.218
0.500 0.000 0.218
0.000 0.500 0.782
0.500 0.000 0.782
0.500 0.500 0.500

***

Entry 2:
Ac4PmRe3N12 GGA-PBE relaxed; calculated volume = 286.7 Å³/cell; electronic total energy = -8.48 eV per atom; D(E_F) = 0.3982 states/eV/atom; spin magnetization = 0.0 Bohr magnetons per cell
1.0
-0.247 1.189 -7.092
-0.214 -7.082 1.254
-5.635 3.167 3.161
Ac Pm Re N
4 1 3 12
direct
0.500 0.500 0.500
0.000 0.000 0.500
0.500 0.000 0.000
0.000 0.500 0.000
0.000 0.000 0.000
0.500 0.000 0.500
0.500 0.500 0.000
0.000 0.500 0.500
0.250 0.500 0.750
0.728 0.000 0.728
0.272 0.000 0.272
0.750 0.500 0.250
0.728 0.728 0.000
0.272 0.272 0.000
0.750 0.250 0.500
0.250 0.750 0.500
0.500 0.250 0.750
0.000 0.728 0.728
0.500 0.750 0.250
0.000 0.272 0.272

***

Entry 3:
AcPm2RuN4 GGA-PBE relaxed; calculated volume = 261.7 Å³/cell; electronic total energy = -7.90 eV per atom; D(E_F) = 0.3723 states/eV/atom; spin magnetization = 0.0 Bohr magnetons per cell
1.0
-1.349 -0.421 3.286
6.128 -1.603 0.363
2.824 11.388 2.620
Ac Pm Ru N
2 4 2 8
direct
0.110 0.219 0.750
0.890 0.781 0.250
0.368 0.736 0.543
0.632 0.264 0.043
0.632 0.264 0.457
0.368 0.736 0.957
0.846 0.691 0.750
0.154 0.309 0.250
0.268 0.536 0.129
0.732 0.464 0.629
0.732 0.464 0.871
0.268 0.536 0.371
0.000 0.000 0.500
0.000 0.000 0.000
0.424 0.848 0.750
0.576 0.152 0.250